Density functional theory data (GGA-PBE) for Ac2SbN after structural relaxation.

Output
energy above the lowest structure with this stoichiometry = 155.0 meV/atom
uncorrected formation energy = -0.92 eV/atom
raw total energy = -6.0874 eV per atom
Fermi-level density of states = 4.0 states/eV per cell

a b c (Å): 4.2188 4.2188 22.4498
angles (deg): 90.00 90.00 120.00
Element x y z (fractional)
Ac (0.0000, 0.0000, 0.2331)
Ac (0.0000, 0.0000, 0.7669)
Ac (0.3333, 0.6667, 0.4335)
Ac (0.3333, 0.6667, 0.8998)
Ac (0.6667, 0.3333, 0.1002)
Ac (0.6667, 0.3333, 0.5665)
Sb (0.0000, 0.0000, 0.0000)
Sb (0.3333, 0.6667, 0.6667)
Sb (0.6667, 0.3333, 0.3333)
N (0.0000, 0.0000, 0.5000)
N (0.3333, 0.6667, 0.1667)
N (0.6667, 0.3333, 0.8333)


Density functional theory data (GGA-PBE) for Cs3BeCl6 after structural relaxation.

Output
uncorrected formation energy = -1.43 eV/atom
raw total energy = -3.1641 eV per atom
Fermi-level density of states = 15.5 states/eV per cell

a b c (Å): 7.8807 7.8807 7.8807
angles (deg): 60.00 60.00 60.00
Element x y z (fractional)
Cs (0.0000, 0.0000, 0.0000)
Cs (0.2500, 0.2500, 0.2500)
Cs (0.7500, 0.7500, 0.7500)
Be (0.5000, 0.5000, 0.5000)
Cl (0.2954, 0.2954, 0.7046)
Cl (0.2954, 0.7046, 0.2954)
Cl (0.2954, 0.7046, 0.7046)
Cl (0.7046, 0.2954, 0.2954)
Cl (0.7046, 0.2954, 0.7046)
Cl (0.7046, 0.7046, 0.2954)


Density functional theory data (GGA-PBE) for Tc2SbW after structural relaxation.

Output
uncorrected formation energy = 0.33 eV/atom
raw total energy = -9.1170 eV per atom
Fermi-level density of states = 7.0 states/eV per cell

a b c (Å): 8.8927 3.0779 5.0593
angles (deg): 90.00 103.77 90.00
Element x y z (fractional)
Tc (0.2374, 0.0000, 0.2231)
Tc (0.2626, 0.5000, 0.7769)
Tc (0.7374, 0.5000, 0.2231)
Tc (0.7626, 0.0000, 0.7769)
Sb (0.0000, 0.0000, 0.5000)
Sb (0.5000, 0.5000, 0.5000)
W (0.0000, 0.5000, 0.0000)
W (0.5000, 0.0000, 0.0000)


Density functional theory data (GGA-PBE) for Ce4ZrSc after structural relaxation.

Output
energy of formation = 55.4 kJ/mol of formula units
raw total energy = -6.3402 eV per atom
Fermi-level density of states = 22.9 states/eV per cell

a b c (Å): 6.3604 5.3327 9.6442
angles (deg): 90.00 109.25 90.00
Element x y z (fractional)
Ce (0.0873, 0.2500, 0.2439)
Ce (0.1988, 0.7500, 0.4289)
Ce (0.2699, 0.2500, 0.5711)
Ce (0.3438, 0.7500, 0.7561)
Ce (0.6562, 0.2500, 0.2439)
Ce (0.7301, 0.7500, 0.4289)
Ce (0.8012, 0.2500, 0.5711)
Ce (0.9127, 0.7500, 0.7561)
Zr (0.2051, 0.2500, 0.9096)
Zr (0.7949, 0.7500, 0.0904)
Sc (0.2976, 0.7500, 0.0958)
Sc (0.7024, 0.2500, 0.9042)


Density functional theory data (GGA-PBE) for ZrZnIN2 after structural relaxation.

Output
energy above the lowest structure with this stoichiometry = 0.0 meV/atom
uncorrected formation energy = 0.39 eV/atom
raw total energy = -5.2160 eV per atom
Fermi-level density of states = 3.1 states/eV per cell

a b c (Å): 4.1717 4.1717 6.2333
angles (deg): 90.00 90.00 90.00
Element x y z (fractional)
Zr (0.0000, 0.0000, 0.0000)
Zn (0.5000, 0.5000, 0.5000)
I (0.0000, 0.0000, 0.5000)
N (0.0000, 0.5000, 0.0000)
N (0.5000, 0.0000, 0.0000)


Density functional theory data (GGA-PBE) for LiCeHo2 after structural relaxation.

Output
energy of formation = 52.7 kJ/mol of formula units
energy above the lowest structure with this stoichiometry = 28.5 meV/atom
raw total energy = -4.1143 eV per atom
Fermi-level density of states = 20.0 states/eV per cell

a b c (Å): 3.4119 3.4119 33.7453
angles (deg): 90.00 90.00 120.00
Element x y z (fractional)
Li (0.0000, 0.0000, 0.0000)
Li (0.3333, 0.6667, 0.6667)
Li (0.6667, 0.3333, 0.3333)
Ce (0.0000, 0.0000, 0.8337)
Ce (0.3333, 0.6667, 0.5003)
Ce (0.6667, 0.3333, 0.1670)
Ho (0.0000, 0.0000, 0.4147)
Ho (0.0000, 0.0000, 0.5857)
Ho (0.3333, 0.6667, 0.0814)
Ho (0.3333, 0.6667, 0.2524)
Ho (0.6667, 0.3333, 0.7481)
Ho (0.6667, 0.3333, 0.9191)


For reference, V by record: 28.836 34.608 16.812 25.735 21.695 28.349 Å³ per atom.
For reference, size of the total moment by record: 0.000 1.000 0.000 0.000 0.439 1.827 μB per cell.